[1]
A relaxed CuOs2Se crystal, computed with GGA-PBE.

Values from the calculation:
ΔE_f (raw)	3.26	eV/f.u.
crystal system	orthorhombic

a b c (Å): 2.8021 4.5911 4.6388
angles (deg): 90.00 90.00 90.00
Closest atoms and distances in Å follow each position.
Space group Pmmm (No. 47)
One atom of each set of equivalent atoms:
1 Cu 0.0000 0.0000 0.0000  4 Os 2.69, 4 Se 2.71, 2 Cu 2.80
2 Os 0.0000 0.5000 0.5000  4 Se 2.69, 6 Os 2.71-2.80
3 Os 0.5000 0.5000 0.0000  4 Cu 2.69, 6 Os 2.71-2.80
4 Se 0.5000 0.0000 0.5000  4 Os 2.69, 4 Cu 2.71, 2 Se 2.80



[2]
A relaxed Fe2PbI crystal, computed with GGA-PBE.

Values from the calculation:
ΔE_f (raw)	3.55	eV/f.u.
crystal system	cubic
energy relative to the lowest polymorph listed for this composition	0	meV/atom

a b c (Å): 6.7818 6.7818 6.7818
angles (deg): 90.00 90.00 90.00
Closest atoms and distances in Å follow each position.
Space group Fm-3m (No. 225)
One atom of each set of equivalent atoms:
1 Fe 0.2500 0.2500 0.2500  4 Pb 2.94, 4 I 2.94
2 Pb 0.0000 0.0000 0.0000  8 Fe 2.94
3 I 0.0000 0.0000 0.5000  8 Fe 2.94